1.
Rb8H3I4Cl: optimized geometry, GGA-PBE.

Cell and atoms, written as POSCAR:
```
Rb8H3I4Cl
1.0
8.403 -4.844 0.000
8.403 4.844 0.000
-5.599 0.000 8.107
Rb H I Cl
8 3 4 1
Direct
0.230 0.742 0.711 Rb
0.237 0.237 0.710 Rb
0.258 0.770 0.289 Rb
0.259 0.259 0.289 Rb
0.741 0.741 0.711 Rb
0.742 0.230 0.711 Rb
0.763 0.763 0.290 Rb
0.770 0.258 0.289 Rb
0.000 0.000 0.500 H
0.000 0.500 0.500 H
0.500 0.000 0.500 H
0.000 0.000 0.000 I
0.000 0.500 0.000 I
0.500 0.000 0.000 I
0.500 0.500 0.000 I
0.500 0.500 0.500 Cl
```

- magnetization (μB per formula unit) = 0.1
- symmetry = C2/m

***

2.
Rb8HI3Cl3: optimized geometry, GGA-PBE.

Cell and atoms, written as POSCAR:
```
Rb8HI3Cl3
1.0
4.937 2.851 8.254
-4.937 2.851 8.254
0.000 -5.701 8.254
Rb H I Cl
8 1 3 3
Direct
0.240 0.240 0.240 Rb
0.245 0.737 0.737 Rb
0.263 0.263 0.755 Rb
0.263 0.755 0.263 Rb
0.737 0.245 0.737 Rb
0.737 0.737 0.245 Rb
0.755 0.263 0.263 Rb
0.760 0.760 0.760 Rb
0.500 0.500 0.500 H
0.000 0.500 0.500 I
0.500 0.000 0.500 I
0.500 0.500 0.000 I
0.000 0.000 0.500 Cl
0.000 0.500 0.000 Cl
0.500 0.000 0.000 Cl
```

- magnetization (μB per formula unit) = 0.9
- symmetry = R-3m

***

3.
Rb4HI2Cl: optimized geometry, GGA-PBE.

Cell and atoms, written as POSCAR:
```
Rb4HI2Cl
1.0
8.493 0.000 0.000
0.000 4.906 0.000
-2.819 0.000 8.163
Rb H I Cl
4 1 2 1
Direct
0.232 0.000 0.215 Rb
0.254 0.500 0.783 Rb
0.746 0.500 0.217 Rb
0.768 0.000 0.785 Rb
0.000 0.500 0.000 H
0.000 0.000 0.500 I
0.500 0.500 0.500 I
0.500 0.000 0.000 Cl
```

- magnetization (μB per formula unit) = 0.1
- symmetry = P2/m

***

4.
RbHICl: optimized geometry, GGA-PBE.

Cell and atoms, written as POSCAR:
```
RbHICl
1.0
5.281 0.000 0.000
0.000 4.830 0.000
-1.663 0.000 6.690
Rb H I Cl
1 1 1 1
Direct
0.000 0.000 0.000 Rb
0.175 0.500 0.537 H
0.450 0.500 0.850 I
0.987 0.500 0.363 Cl
```

- magnetization (μB per formula unit) = 0.0
- symmetry = Pm

***

no.,final energy (eV per atom)
1,-2.63
2,-2.77
3,-2.76
4,-2.94